(1)
The following is a GGA-PBE calculation of CaHF after structural relaxation, from the Alexandria database.

Excess energy over the best structure of this formula in the dataset, meV per atom: 147
DOS(E_F), states/eV per atom: 0.000

```
data_CaHF
_cell_length_a 3.6262
_cell_length_b 3.6262
_cell_length_c 4.5945
_cell_angle_alpha 90.00
_cell_angle_beta 90.00
_cell_angle_gamma 120.00
_space_group_name_H-M_alt 'P 3 m 1'
_space_group_IT_number 156
_space_group_name_Hall 'P 3 -2"'
loop_
_atom_site_label
_atom_site_fract_x
_atom_site_fract_y
_atom_site_fract_z
_atom_site_occupancy
Ca1 0.0000 0.0000 0.0000 1
H1 0.3333 0.6667 0.2111 1
F1 0.6667 0.3333 0.8022 1
```

(2)
The following is a GGA-PBE calculation of CaHF2 after structural relaxation, from the Alexandria database.

Excess energy over the best structure of this formula in the dataset, meV per atom: 182
DOS(E_F), states/eV per atom: 0.000

```
data_CaHF2
_cell_length_a 4.806
_cell_length_b 4.806
_cell_length_c 12.623
_cell_angle_alpha 90.00
_cell_angle_beta 90.00
_cell_angle_gamma 90.00
_space_group_name_H-M_alt 'I -4 2 d'
_space_group_IT_number 122
_space_group_name_Hall 'I -4 2bw'
loop_
_atom_site_label
_atom_site_fract_x
_atom_site_fract_y
_atom_site_fract_z
_atom_site_occupancy
Ca1 0.000 0.000 0.000 1
H1 0.000 0.000 0.500 1
F1 0.185 0.250 0.125 1
```

(3)
The following is a GGA-PBE calculation of Ca2H2F after structural relaxation, from the Alexandria database.

Excess energy over the best structure of this formula in the dataset, meV per atom: 0
DOS(E_F), states/eV per atom: 0.335

```
data_Ca2H2F
_cell_length_a 6.539
_cell_length_b 6.539
_cell_length_c 3.428
_cell_angle_alpha 90.00
_cell_angle_beta 90.00
_cell_angle_gamma 90.00
_space_group_name_H-M_alt 'P 4/m b m'
_space_group_IT_number 127
_space_group_name_Hall '-P 4 2ab'
loop_
_atom_site_label
_atom_site_fract_x
_atom_site_fract_y
_atom_site_fract_z
_atom_site_occupancy
Ca1 0.182 0.318 0.000 1
H1 0.134 0.634 0.500 1
F1 0.000 0.000 0.000 1
```

(4)
The following is a GGA-PBE calculation of CaHF after structural relaxation, from the Alexandria database.

Excess energy over the best structure of this formula in the dataset, meV per atom: 0
DOS(E_F), states/eV per atom: 0.000

```
data_CaHF
_cell_length_a 5.476
_cell_length_b 5.476
_cell_length_c 5.476
_cell_angle_alpha 90.00
_cell_angle_beta 90.00
_cell_angle_gamma 90.00
_space_group_name_H-M_alt 'F -4 3 m'
_space_group_IT_number 216
_space_group_name_Hall 'F -4 2 3'
loop_
_atom_site_label
_atom_site_fract_x
_atom_site_fract_y
_atom_site_fract_z
_atom_site_occupancy
Ca1 0.000 0.000 0.000 1
H1 0.250 0.250 0.750 1
F1 0.250 0.250 0.250 1
```

(5)
The following is a GGA-PBE calculation of CaH3F after structural relaxation, from the Alexandria database.

Excess energy over the best structure of this formula in the dataset, meV per atom: 0
DOS(E_F), states/eV per atom: 0.099

```
data_CaH3F
_cell_length_a 3.796
_cell_length_b 3.796
_cell_length_c 3.796
_cell_angle_alpha 90.00
_cell_angle_beta 90.00
_cell_angle_gamma 90.00
_space_group_name_H-M_alt 'P m -3 m'
_space_group_IT_number 221
_space_group_name_Hall '-P 4 2 3'
loop_
_atom_site_label
_atom_site_fract_x
_atom_site_fract_y
_atom_site_fract_z
_atom_site_occupancy
Ca1 0.000 0.000 0.000 1
H1 0.000 0.500 0.500 1
F1 0.500 0.500 0.500 1
```

(6)
The following is a GGA-PBE calculation of CaHF2 after structural relaxation, from the Alexandria database.

Excess energy over the best structure of this formula in the dataset, meV per atom: 321
DOS(E_F), states/eV per atom: 0.222

```
data_CaHF2
_cell_length_a 3.5517
_cell_length_b 3.5517
_cell_length_c 16.8862
_cell_angle_alpha 90.00
_cell_angle_beta 90.00
_cell_angle_gamma 120.00
_space_group_name_H-M_alt 'R -3 m'
_space_group_IT_number 166
_space_group_name_Hall '-R 3 2"'
loop_
_atom_site_label
_atom_site_fract_x
_atom_site_fract_y
_atom_site_fract_z
_atom_site_occupancy
Ca1 0.0000 0.0000 0.0000 1
H1 0.0000 0.0000 0.5000 1
F1 0.0000 0.0000 0.4313 1
```

(7)
The following is a GGA-PBE calculation of CaH2F2 after structural relaxation, from the Alexandria database.

Excess energy over the best structure of this formula in the dataset, meV per atom: 999
DOS(E_F), states/eV per atom: 0.112

```
data_CaH2F2
_cell_length_a 2.867
_cell_length_b 2.867
_cell_length_c 16.354
_cell_angle_alpha 90.00
_cell_angle_beta 90.00
_cell_angle_gamma 90.00
_space_group_name_H-M_alt 'I 4/m m m'
_space_group_IT_number 139
_space_group_name_Hall '-I 4 2'
loop_
_atom_site_label
_atom_site_fract_x
_atom_site_fract_y
_atom_site_fract_z
_atom_site_occupancy
Ca1 0.000 0.000 0.000 1
H1 0.000 0.500 0.250 1
F1 0.000 0.000 0.427 1
```

(8)
The following is a GGA-PBE calculation of CaHF4 after structural relaxation, from the Alexandria database.

Excess energy over the best structure of this formula in the dataset, meV per atom: 0

```
data_CaHF4
_cell_length_a 4.426
_cell_length_b 8.173
_cell_length_c 4.494
_cell_angle_alpha 90.00
_cell_angle_beta 95.27
_cell_angle_gamma 90.00
_space_group_name_H-M_alt 'P 1 21/m 1'
_space_group_IT_number 11
_space_group_name_Hall '-P 2yb'
loop_
_atom_site_label
_atom_site_fract_x
_atom_site_fract_y
_atom_site_fract_z
_atom_site_occupancy
Ca1 0.110 0.250 0.106 1
H1 0.486 0.750 0.486 1
F1 0.160 0.534 0.158 1
F2 0.308 0.250 0.649 1
F3 0.351 0.750 0.694 1
```

(9)
The following is a GGA-PBE calculation of CaH2F4 after structural relaxation, from the Alexandria database.

Excess energy over the best structure of this formula in the dataset, meV per atom: 0
DOS(E_F), states/eV per atom: 0.000

```
data_CaH2F4
_cell_length_a 5.629
_cell_length_b 10.148
_cell_length_c 10.845
_cell_angle_alpha 90.00
_cell_angle_beta 90.00
_cell_angle_gamma 90.00
_space_group_name_H-M_alt 'F d d d'
_space_group_IT_number 70
loop_
_space_group_symop_operation_xyz
'x,y,z'
'-x,-y,-z'
'-x+1/4,-y+1/4,z'
'x+1/4,y+1/4,-z'
'x,-y+1/4,-z+1/4'
'-x,y+1/4,z+1/4'
'-x+1/4,y,-z+1/4'
'x+1/4,-y,z+1/4'
'x,y+1/2,z+1/2'
'-x,-y+1/2,-z+1/2'
'-x+1/4,-y+3/4,z+1/2'
'x+1/4,y+3/4,-z+1/2'
'x,-y+3/4,-z+3/4'
'-x,y+3/4,z+3/4'
'-x+1/4,y+1/2,-z+3/4'
'x+1/4,-y+1/2,z+3/4'
'x+1/2,y,z+1/2'
'-x+1/2,-y,-z+1/2'
'-x+3/4,-y+1/4,z+1/2'
'x+3/4,y+1/4,-z+1/2'
'x+1/2,-y+1/4,-z+3/4'
'-x+1/2,y+1/4,z+3/4'
'-x+3/4,y,-z+3/4'
'x+3/4,-y,z+3/4'
'x+1/2,y+1/2,z'
'-x+1/2,-y+1/2,-z'
'-x+3/4,-y+3/4,z'
'x+3/4,y+3/4,-z'
'x+1/2,-y+3/4,-z+1/4'
'-x+1/2,y+3/4,z+1/4'
'-x+3/4,y+1/2,-z+1/4'
'x+3/4,-y+1/2,z+1/4'
loop_
_atom_site_label
_atom_site_fract_x
_atom_site_fract_y
_atom_site_fract_z
_atom_site_occupancy
Ca1 0.125 0.125 0.125 1
H1 0.125 0.125 0.504 1
F1 0.040 0.308 0.995 1
```

(10)
The following is a GGA-PBE calculation of CaH2F after structural relaxation, from the Alexandria database.

Excess energy over the best structure of this formula in the dataset, meV per atom: 0
DOS(E_F), states/eV per atom: 0.076

```
data_CaH2F
_cell_length_a 3.325
_cell_length_b 3.325
_cell_length_c 16.889
_cell_angle_alpha 90.00
_cell_angle_beta 90.00
_cell_angle_gamma 90.00
_space_group_name_H-M_alt 'I 41/a m d'
_space_group_IT_number 141
loop_
_space_group_symop_operation_xyz
'x,y,z'
'-x,-y,-z'
'-y+1/4,x+3/4,z+1/4'
'y+1/4,-x+3/4,-z+1/4'
'-x+1/2,-y,z+1/2'
'x+1/2,y,-z+1/2'
'y+1/4,-x+1/4,z+3/4'
'-y+1/4,x+1/4,-z+3/4'
'x,-y,-z'
'-x,y,z'
'-y+1/4,-x+1/4,-z+3/4'
'y+1/4,x+1/4,z+3/4'
'-x+1/2,y,-z+1/2'
'x+1/2,-y,z+1/2'
'y+1/4,x+3/4,-z+1/4'
'-y+1/4,-x+3/4,z+1/4'
'x+1/2,y+1/2,z+1/2'
'-x+1/2,-y+1/2,-z+1/2'
'-y+3/4,x+1/4,z+3/4'
'y+3/4,-x+1/4,-z+3/4'
'-x,-y+1/2,z'
'x,y+1/2,-z'
'y+3/4,-x+3/4,z+1/4'
'-y+3/4,x+3/4,-z+1/4'
'x+1/2,-y+1/2,-z+1/2'
'-x+1/2,y+1/2,z+1/2'
'-y+3/4,-x+3/4,-z+1/4'
'y+3/4,x+3/4,z+1/4'
'-x,y+1/2,-z'
'x,-y+1/2,z'
'y+3/4,x+1/4,-z+3/4'
'-y+3/4,-x+1/4,z+3/4'
loop_
_atom_site_label
_atom_site_fract_x
_atom_site_fract_y
_atom_site_fract_z
_atom_site_occupancy
Ca1 0.000 0.250 0.375 1
H1 0.000 0.000 0.500 1
F1 0.000 0.250 0.875 1
```

(11)
The following is a GGA-PBE calculation of CaHF2 after structural relaxation, from the Alexandria database.

Excess energy over the best structure of this formula in the dataset, meV per atom: 0
DOS(E_F), states/eV per atom: 0.000

```
data_CaHF2
_cell_length_a 3.9049
_cell_length_b 3.9049
_cell_length_c 9.9478
_cell_angle_alpha 90.00
_cell_angle_beta 90.00
_cell_angle_gamma 120.00
_space_group_name_H-M_alt 'R -3 m'
_space_group_IT_number 166
_space_group_name_Hall '-R 3 2"'
loop_
_atom_site_label
_atom_site_fract_x
_atom_site_fract_y
_atom_site_fract_z
_atom_site_occupancy
Ca1 0.0000 0.0000 0.0000 1
H1 0.0000 0.0000 0.5000 1
F1 0.0000 0.0000 0.2498 1
```

(12)
The following is a GGA-PBE calculation of CaHF after structural relaxation, from the Alexandria database.

Excess energy over the best structure of this formula in the dataset, meV per atom: 332
DOS(E_F), states/eV per atom: 0.000

```
data_CaHF
_cell_length_a 3.252
_cell_length_b 3.252
_cell_length_c 6.901
_cell_angle_alpha 90.00
_cell_angle_beta 90.00
_cell_angle_gamma 90.00
_space_group_name_H-M_alt 'I 4 m m'
_space_group_IT_number 107
_space_group_name_Hall 'I 4 -2'
loop_
_atom_site_label
_atom_site_fract_x
_atom_site_fract_y
_atom_site_fract_z
_atom_site_occupancy
Ca1 0.000 0.000 0.000 1
H1 0.000 0.000 0.663 1
F1 0.000 0.000 0.345 1
```

(13)
The following is a GGA-PBE calculation of CaH2F4 after structural relaxation, from the Alexandria database.

Excess energy over the best structure of this formula in the dataset, meV per atom: 41
DOS(E_F), states/eV per atom: 0.000

```
data_CaH2F4
_cell_length_a 10.448
_cell_length_b 5.469
_cell_length_c 7.977
_cell_angle_alpha 90.00
_cell_angle_beta 130.67
_cell_angle_gamma 90.00
_space_group_name_H-M_alt 'C 1 2 1'
_space_group_IT_number 5
_space_group_name_Hall 'C 2y'
loop_
_atom_site_label
_atom_site_fract_x
_atom_site_fract_y
_atom_site_fract_z
_atom_site_occupancy
Ca1 0.000 0.000 0.000 1
Ca2 0.000 0.250 0.500 1
H1 0.056 0.507 0.860 1
H2 0.195 0.756 0.640 1
F1 0.035 0.277 0.817 1
F2 0.071 0.696 0.884 1
F3 0.186 0.945 0.616 1
F4 0.218 0.526 0.683 1
```

(14)
The following is a GGA-PBE calculation of CaH2F after structural relaxation, from the Alexandria database.

Excess energy over the best structure of this formula in the dataset, meV per atom: 358
DOS(E_F), states/eV per atom: 0.200

```
data_CaH2F
_cell_length_a 5.487
_cell_length_b 5.487
_cell_length_c 5.487
_cell_angle_alpha 90.00
_cell_angle_beta 90.00
_cell_angle_gamma 90.00
_space_group_name_H-M_alt 'F m -3 m'
_space_group_IT_number 225
_space_group_name_Hall '-F 4 2 3'
loop_
_atom_site_label
_atom_site_fract_x
_atom_site_fract_y
_atom_site_fract_z
_atom_site_occupancy
Ca1 0.000 0.000 0.000 1
H1 0.250 0.250 0.250 1
F1 0.000 0.000 0.500 1
```

(15)
The following is a GGA-PBE calculation of CaH2F4 after structural relaxation, from the Alexandria database.

Excess energy over the best structure of this formula in the dataset, meV per atom: 200
DOS(E_F), states/eV per atom: 0.000

```
data_CaH2F4
_cell_length_a 4.418
_cell_length_b 4.418
_cell_length_c 9.376
_cell_angle_alpha 90.00
_cell_angle_beta 90.00
_cell_angle_gamma 90.00
_space_group_name_H-M_alt 'I 4/m m m'
_space_group_IT_number 139
_space_group_name_Hall '-I 4 2'
loop_
_atom_site_label
_atom_site_fract_x
_atom_site_fract_y
_atom_site_fract_z
_atom_site_occupancy
Ca1 0.000 0.000 0.000 1
H1 0.000 0.000 0.357 1
F1 0.000 0.000 0.257 1
F2 0.000 0.500 0.000 1
```

(16)
The following is a GGA-PBE calculation of CaHF after structural relaxation, from the Alexandria database.

Excess energy over the best structure of this formula in the dataset, meV per atom: 148
DOS(E_F), states/eV per atom: 0.000

```
data_CaHF
_cell_length_a 3.6216
_cell_length_b 3.6216
_cell_length_c 10.7389
_cell_angle_alpha 90.00
_cell_angle_beta 90.00
_cell_angle_gamma 120.00
_space_group_name_H-M_alt 'P 63 m c'
_space_group_IT_number 186
_space_group_name_Hall 'P 6c -2c'
loop_
_atom_site_label
_atom_site_fract_x
_atom_site_fract_y
_atom_site_fract_z
_atom_site_occupancy
Ca1 0.0000 0.0000 0.0000 1
H1 0.3333 0.6667 0.0895 1
F1 0.3333 0.6667 0.4144 1
```

(17)
The following is a GGA-PBE calculation of CaH2F2 after structural relaxation, from the Alexandria database.

Excess energy over the best structure of this formula in the dataset, meV per atom: 0
DOS(E_F), states/eV per atom: 0.000

```
data_CaH2F2
_cell_length_a 6.272
_cell_length_b 3.617
_cell_length_c 7.126
_cell_angle_alpha 90.00
_cell_angle_beta 94.07
_cell_angle_gamma 90.00
_space_group_name_H-M_alt 'C 1 2/m 1'
_space_group_IT_number 12
_space_group_name_Hall '-C 2y'
loop_
_atom_site_label
_atom_site_fract_x
_atom_site_fract_y
_atom_site_fract_z
_atom_site_occupancy
Ca1 0.000 0.000 0.000 1
H1 0.042 0.500 0.465 1
F1 0.178 0.500 0.134 1
```

(18)
The following is a GGA-PBE calculation of CaHF4 after structural relaxation, from the Alexandria database.

Excess energy over the best structure of this formula in the dataset, meV per atom: 65

```
data_CaHF4
_cell_length_a 6.744
_cell_length_b 6.744
_cell_length_c 7.906
_cell_angle_alpha 90.00
_cell_angle_beta 90.00
_cell_angle_gamma 90.00
_space_group_name_H-M_alt 'I 41 m d'
_space_group_IT_number 109
_space_group_name_Hall 'I 4bw -2'
loop_
_atom_site_label
_atom_site_fract_x
_atom_site_fract_y
_atom_site_fract_z
_atom_site_occupancy
Ca1 0.000 0.000 0.000 1
H1 0.000 0.000 0.313 1
F1 0.000 0.167 0.285 1
F2 0.000 0.355 0.981 1
```

(19)
The following is a GGA-PBE calculation of CaHF2 after structural relaxation, from the Alexandria database.

Excess energy over the best structure of this formula in the dataset, meV per atom: 43
DOS(E_F), states/eV per atom: 0.000

```
data_CaHF2
_cell_length_a 3.663
_cell_length_b 18.678
_cell_length_c 4.289
_cell_angle_alpha 90.00
_cell_angle_beta 90.00
_cell_angle_gamma 90.00
_space_group_name_H-M_alt 'C m c m'
_space_group_IT_number 63
_space_group_name_Hall '-C 2c 2'
loop_
_atom_site_label
_atom_site_fract_x
_atom_site_fract_y
_atom_site_fract_z
_atom_site_occupancy
Ca1 0.000 0.181 0.250 1
H1 0.000 0.061 0.750 1
F1 0.000 0.228 0.750 1
F2 0.000 0.380 0.750 1
```

(20)
The following is a GGA-PBE calculation of CaHF3 after structural relaxation, from the Alexandria database.

Excess energy over the best structure of this formula in the dataset, meV per atom: 1205
DOS(E_F), states/eV per atom: 1.813

```
data_CaHF3
_cell_length_a 4.489
_cell_length_b 4.489
_cell_length_c 4.489
_cell_angle_alpha 90.00
_cell_angle_beta 90.00
_cell_angle_gamma 90.00
_space_group_name_H-M_alt 'P m -3 m'
_space_group_IT_number 221
_space_group_name_Hall '-P 4 2 3'
loop_
_atom_site_label
_atom_site_fract_x
_atom_site_fract_y
_atom_site_fract_z
_atom_site_occupancy
Ca1 0.000 0.000 0.000 1
H1 0.500 0.500 0.500 1
F1 0.000 0.000 0.500 1
```